[1]
{
  "formula": "V7S8",
  "functional": "meta-GGA SCAN",
  "state": "single point on PBEsol structure",
  "lattice_angstrom": [[5.416, -3.128, 0.000], [5.416, 3.128, 0.000], [-5.409, 0.000, 5.965]],
  "species": ["V", "V", "V", "V", "V", "V", "V", "S", "S", "S", "S", "S", "S", "S", "S"],
  "fractional_positions": [[0.000, 0.000, 0.000], [0.000, 0.500, 0.000], [0.253, 0.253, 0.504], [0.253, 0.747, 0.500], [0.500, 0.000, 0.000], [0.747, 0.253, 0.500], [0.747, 0.747, 0.496], [0.040, 0.040, 0.747], [0.050, 0.541, 0.755], [0.458, 0.458, 0.242], [0.459, 0.950, 0.245], [0.541, 0.050, 0.755], [0.542, 0.542, 0.758], [0.950, 0.459, 0.245], [0.960, 0.960, 0.253]],
  "relative_energy_mev_per_atom": 1,
  "magmom_total_mub_per_fu": 0.9,
  "space_group": "C2/m",
  "formation_energy_uncorrected_ev_per_atom": -1.077,
  "e_tot_ev_per_atom": -14.374,
  "vol_a3_per_fu": 202.1
}


[2]
{
  "formula": "TlCo2As",
  "functional": "meta-GGA SCAN",
  "state": "single point on PBEsol structure",
  "lattice_angstrom": [[3.141, 0.000, 0.000], [0.000, 3.141, 0.000], [0.000, 0.000, 6.174]],
  "species": ["Tl", "Co", "Co", "As"],
  "fractional_positions": [[0.000, 0.000, 0.000], [0.000, 0.000, 0.518], [0.500, 0.500, 0.752], [0.500, 0.500, 0.382]],
  "magmom_total_mub_per_fu": 2.1,
  "space_group": "P4mm",
  "e_form_ev_per_atom": 0.37,
  "e_tot_ev_per_atom": -31.416,
  "vol_a3_per_fu": 60.9
}


[3]
{
  "formula": "CrHgMo2",
  "functional": "meta-GGA SCAN",
  "state": "single point on PBEsol structure",
  "lattice_angstrom": [[1.574, -2.224, 0.000], [1.574, 2.224, 0.000], [0.000, 0.000, 8.867]],
  "species": ["Cr", "Hg", "Mo", "Mo"],
  "fractional_positions": [[0.000, 0.000, 0.000], [0.500, 0.500, 0.260], [0.000, 0.000, 0.540], [0.500, 0.500, 0.783]],
  "magmom_total_mub_per_fu": 0.0,
  "space_group": "Cmm2",
  "e_form_ev_per_atom": 0.42,
  "e_tot_ev_per_atom": -38.663,
  "vol_a3_per_fu": 62.1
}


[4]
{
  "formula": "BeFe2Co",
  "functional": "meta-GGA SCAN",
  "state": "single point on PBEsol structure",
  "lattice_angstrom": [[2.741, 0.000, 0.000], [0.000, 2.741, 0.000], [0.000, 0.000, 5.267]],
  "species": ["Be", "Fe", "Fe", "Co"],
  "fractional_positions": [[0.000, 0.000, 0.000], [0.000, 0.000, 0.491], [0.500, 0.500, 0.762], [0.500, 0.500, 0.224]],
  "magmom_total_mub_per_fu": 6.5,
  "space_group": "P4mm",
  "e_form_ev_per_atom": -0.12,
  "e_tot_ev_per_atom": -14.599,
  "vol_a3_per_fu": 39.6
}


[5]
{
  "formula": "CaOs2Au",
  "functional": "meta-GGA SCAN",
  "state": "single point on PBEsol structure",
  "lattice_angstrom": [[2.895, 0.000, 0.000], [0.000, 4.669, 0.000], [0.000, 0.000, 4.882]],
  "species": ["Ca", "Os", "Os", "Au"],
  "fractional_positions": [[0.000, 0.000, 0.000], [0.000, 0.500, 0.500], [0.500, 0.000, 0.500], [0.500, 0.500, 0.000]],
  "relative_energy_mev_per_atom": 29,
  "magmom_total_mub_per_fu": 0.0,
  "space_group": "Pmmm",
  "e_form_ev_per_atom": 0.47,
  "e_tot_ev_per_atom": -55.173,
  "vol_a3_per_fu": 66.0
}


[6]
{
  "formula": "TaRuN2O",
  "functional": "meta-GGA SCAN",
  "state": "single point on PBEsol structure",
  "lattice_angstrom": [[3.774, 0.000, 0.000], [0.000, 3.774, 0.000], [0.000, 0.000, 3.772]],
  "species": ["Ta", "Ru", "N", "N", "O"],
  "fractional_positions": [[0.000, 0.000, 0.000], [0.500, 0.500, 0.500], [0.000, 0.500, 0.500], [0.500, 0.000, 0.500], [0.500, 0.500, 0.000]],
  "magmom_total_mub_per_fu": 0.0,
  "space_group": "P4/mmm",
  "formation_energy_uncorrected_ev_per_atom": 0.534,
  "e_tot_ev_per_atom": -24.711,
  "vol_a3_per_fu": 53.7
}